# Mg2Cd3 (GGA-PBE, relaxed)
data_Mg2Cd3
_chemical_formula_sum 'Mg6 Cd9'
_cell_length_a 4.9592
_cell_length_b 4.9592
_cell_length_c 15.5179
_cell_angle_alpha 90.00
_cell_angle_beta 90.00
_cell_angle_gamma 120.00
_symmetry_space_group_name_H-M 'R -3 m'
_symmetry_Int_Tables_number 166
_symmetry_space_group_name_Hall '-R 3 2"'
loop_
_atom_site_label
_atom_site_type_symbol
_atom_site_fract_x
_atom_site_fract_y
_atom_site_fract_z
_atom_site_occupancy
Mg1 Mg 0.0000 0.0000 0.1024 1
Cd1 Cd 0.0000 0.0000 0.2998 1
Cd2 Cd 0.0000 0.0000 0.5000 1
# * N(E_F): 4.8 states/eV/cell
# * energy of formation from the pure elements: -0.046 eV/atom
# * ΔE to the lowest computed polymorph: 0 meV/atom
# * V: 22.03 Å³/atom
# * crystal system: trigonal
# * spin magnetization: 0.00 μB/cell

---

# B5C7 (GGA-PBE, relaxed)
data_B5C7
_chemical_formula_sum 'B5 C7'
_cell_length_a 2.5307
_cell_length_b 2.5307
_cell_length_c 14.0629
_cell_angle_alpha 90.00
_cell_angle_beta 90.00
_cell_angle_gamma 120.00
_symmetry_space_group_name_H-M 'P 3 m 1'
_symmetry_Int_Tables_number 156
loop_
_symmetry_equiv_pos_as_xyz
'x,y,z'
'-y,x-y,z'
'-x+y,-x,z'
'-y,-x,z'
'-x+y,y,z'
'x,x-y,z'
loop_
_atom_site_label
_atom_site_type_symbol
_atom_site_fract_x
_atom_site_fract_y
_atom_site_fract_z
_atom_site_occupancy
B1 B 0.0000 0.0000 0.0000 1
B2 B 0.0000 0.0000 0.1195 1
B3 B 0.3333 0.6667 0.1962 1
B4 B 0.6667 0.3333 0.7991 1
B5 B 0.6667 0.3333 0.9196 1
C1 C 0.0000 0.0000 0.4927 1
C2 C 0.0000 0.0000 0.6022 1
C3 C 0.3333 0.6667 0.3086 1
C4 C 0.3333 0.6667 0.6405 1
C5 C 0.3333 0.6667 0.7468 1
C6 C 0.6667 0.3333 0.3459 1
C7 C 0.6667 0.3333 0.4558 1
# * N(E_F): 2.1 states/eV/cell
# * energy of formation from the pure elements: 0.394 eV/atom
# * ΔE to the lowest computed polymorph: 136 meV/atom
# * V: 6.50 Å³/atom
# * crystal system: trigonal
# * spin magnetization: 0.00 μB/cell

---

# CaNd6Ho6 (GGA-PBE, relaxed)
data_CaNd6Ho6
_chemical_formula_sum 'Ca1 Nd6 Ho6'
_cell_length_a 6.8014
_cell_length_b 6.8014
_cell_length_c 11.4417
_cell_angle_alpha 90.00
_cell_angle_beta 90.00
_cell_angle_gamma 120.00
_symmetry_space_group_name_H-M 'P 6/m m m'
_symmetry_Int_Tables_number 191
_symmetry_space_group_name_Hall '-P 6 2'
loop_
_atom_site_label
_atom_site_type_symbol
_atom_site_fract_x
_atom_site_fract_y
_atom_site_fract_z
_atom_site_occupancy
Ca1 Ca 0.0000 0.0000 0.0000 1
Nd1 Nd 0.0000 0.0000 0.3463 1
Nd2 Nd 0.3333 0.6667 0.0000 1
Nd3 Nd 0.3333 0.6667 0.5000 1
Ho1 Ho 0.0000 0.5000 0.2492 1
# * N(E_F): 26.2 states/eV/cell
# * energy of formation from the pure elements: 0.250 eV/atom
# * V: 35.26 Å³/atom
# * crystal system: hexagonal
# * spin magnetization: 0.01 μB/cell

---

# Zr4InRe (GGA-PBE, relaxed)
data_Zr4InRe
_chemical_formula_sum 'Zr12 In3 Re3'
_cell_length_a 4.7723
_cell_length_b 4.7723
_cell_length_c 22.4703
_cell_angle_alpha 90.00
_cell_angle_beta 90.00
_cell_angle_gamma 120.00
_symmetry_space_group_name_H-M 'R -3 m'
_symmetry_Int_Tables_number 166
_symmetry_space_group_name_Hall '-R 3 2"'
loop_
_atom_site_label
_atom_site_type_symbol
_atom_site_fract_x
_atom_site_fract_y
_atom_site_fract_z
_atom_site_occupancy
Zr1 Zr 0.0000 0.0000 0.1153 1
Zr2 Zr 0.0000 0.0000 0.3656 1
In1 In 0.0000 0.0000 0.5000 1
Re1 Re 0.0000 0.0000 0.0000 1
# * N(E_F): 20.4 states/eV/cell
# * energy of formation from the pure elements: 0.122 eV/atom
# * ΔE to the lowest computed polymorph: 0 meV/atom
# * V: 24.62 Å³/atom
# * crystal system: trigonal
# * spin magnetization: 0.00 μB/cell

---

# LiScPt2 (GGA-PBE, relaxed)
data_LiScPt2
_chemical_formula_sum 'Li2 Sc2 Pt4'
_cell_length_a 4.2281
_cell_length_b 4.2281
_cell_length_c 7.0426
_cell_angle_alpha 90.00
_cell_angle_beta 90.00
_cell_angle_gamma 90.00
_symmetry_space_group_name_H-M 'I 4/m m m'
_symmetry_Int_Tables_number 139
_symmetry_space_group_name_Hall '-I 4 2'
loop_
_atom_site_label
_atom_site_type_symbol
_atom_site_fract_x
_atom_site_fract_y
_atom_site_fract_z
_atom_site_occupancy
Li1 Li 0.0000 0.0000 0.0000 1
Sc1 Sc 0.0000 0.0000 0.5000 1
Pt1 Pt 0.0000 0.5000 0.2500 1
# * N(E_F): 2.5 states/eV/cell
# * energy of formation from the pure elements: -1.001 eV/atom
# * ΔE to the lowest computed polymorph: 2 meV/atom
# * V: 15.74 Å³/atom
# * crystal system: tetragonal
# * spin magnetization: 0.00 μB/cell

---

# Na3NpRh3S8 (GGA-PBE, relaxed)
data_Na3NpRh3S8
_chemical_formula_sum 'Na9 Np3 Rh9 S24'
_cell_length_a 7.1490
_cell_length_b 7.1490
_cell_length_c 20.0043
_cell_angle_alpha 90.00
_cell_angle_beta 90.00
_cell_angle_gamma 120.00
_symmetry_space_group_name_H-M 'R -3 m'
_symmetry_Int_Tables_number 166
_symmetry_space_group_name_Hall '-R 3 2"'
loop_
_atom_site_label
_atom_site_type_symbol
_atom_site_fract_x
_atom_site_fract_y
_atom_site_fract_z
_atom_site_occupancy
Na1 Na 0.0000 0.5000 0.0000 1
Np1 Np 0.0000 0.0000 0.5000 1
Rh1 Rh 0.0000 0.5000 0.5000 1
S1 S 0.0000 0.0000 0.2277 1
S2 S 0.0273 0.5137 0.7628 1
# * N(E_F): 21.2 states/eV/cell
# * V: 19.68 Å³/atom
# * crystal system: trigonal
# * spin magnetization: 8.70 μB/cell
# * formation energy from raw total energies: -846 meV/atom

---

# K3LaRh (GGA-PBE, relaxed)
data_K3LaRh
_chemical_formula_sum 'K3 La1 Rh1'
_cell_length_a 6.5856
_cell_length_b 6.5856
_cell_length_c 6.5856
_cell_angle_alpha 90.00
_cell_angle_beta 90.00
_cell_angle_gamma 90.00
_symmetry_space_group_name_H-M 'P m -3 m'
_symmetry_Int_Tables_number 221
_symmetry_space_group_name_Hall '-P 4 2 3'
loop_
_atom_site_label
_atom_site_type_symbol
_atom_site_fract_x
_atom_site_fract_y
_atom_site_fract_z
_atom_site_occupancy
K1 K 0.0000 0.0000 0.5000 1
La1 La 0.0000 0.0000 0.0000 1
Rh1 Rh 0.5000 0.5000 0.5000 1
# * N(E_F): 18.9 states/eV/cell
# * energy of formation from the pure elements: 1.681 eV/atom
# * V: 57.12 Å³/atom
# * crystal system: cubic
# * spin magnetization: 3.56 μB/cell

---

# RePtW2 (GGA-PBE, relaxed)
data_RePtW2
_chemical_formula_sum 'Re2 Pt2 W4'
_cell_length_a 3.9880
_cell_length_b 3.9880
_cell_length_c 7.8343
_cell_angle_alpha 90.00
_cell_angle_beta 90.00
_cell_angle_gamma 90.00
_symmetry_space_group_name_H-M 'I 4/m m m'
_symmetry_Int_Tables_number 139
_symmetry_space_group_name_Hall '-I 4 2'
loop_
_atom_site_label
_atom_site_type_symbol
_atom_site_fract_x
_atom_site_fract_y
_atom_site_fract_z
_atom_site_occupancy
Re1 Re 0.0000 0.0000 0.0000 1
Pt1 Pt 0.0000 0.0000 0.5000 1
W1 W 0.0000 0.5000 0.2500 1
# * N(E_F): 6.1 states/eV/cell
# * energy of formation from the pure elements: -0.084 eV/atom
# * ΔE to the lowest computed polymorph: 12 meV/atom
# * V: 15.57 Å³/atom
# * crystal system: tetragonal
# * spin magnetization: 0.00 μB/cell

---

# Li8ZnPd5 (GGA-PBE, relaxed)
data_Li8ZnPd5
_chemical_formula_sum 'Li16 Zn2 Pd10'
_cell_length_a 7.2434
_cell_length_b 7.2434
_cell_length_c 7.8733
_cell_angle_alpha 90.00
_cell_angle_beta 90.00
_cell_angle_gamma 90.00
_symmetry_space_group_name_H-M 'I -4'
_symmetry_Int_Tables_number 82
loop_
_symmetry_equiv_pos_as_xyz
'x,y,z'
'y,-x,-z'
'-x,-y,z'
'-y,x,-z'
'x+1/2,y+1/2,z+1/2'
'y+1/2,-x+1/2,-z+1/2'
'-x+1/2,-y+1/2,z+1/2'
'-y+1/2,x+1/2,-z+1/2'
loop_
_atom_site_label
_atom_site_type_symbol
_atom_site_fract_x
_atom_site_fract_y
_atom_site_fract_z
_atom_site_occupancy
Li1 Li 0.0717 0.3300 0.4096 1
Li2 Li 0.0902 0.1648 0.7638 1
Zn1 Zn 0.0000 0.5000 0.7500 1
Pd1 Pd 0.0000 0.0000 0.5000 1
Pd2 Pd 0.1320 0.2164 0.0792 1
# * N(E_F): 10.3 states/eV/cell
# * energy of formation from the pure elements: -0.233 eV/atom
# * V: 14.75 Å³/atom
# * crystal system: tetragonal
# * spin magnetization: 0.00 μB/cell

---

# Th3Tl5S12 (GGA-PBE, relaxed)
data_Th3Tl5S12
_chemical_formula_sum 'Th24 Tl40 S96'
_cell_length_a 16.2416
_cell_length_b 16.2416
_cell_length_c 16.2416
_cell_angle_alpha 90.00
_cell_angle_beta 90.00
_cell_angle_gamma 90.00
_symmetry_space_group_name_H-M 'I a -3 d'
_symmetry_Int_Tables_number 230
_symmetry_space_group_name_Hall '-I 4bd 2c 3'
loop_
_atom_site_label
_atom_site_type_symbol
_atom_site_fract_x
_atom_site_fract_y
_atom_site_fract_z
_atom_site_occupancy
Th1 Th 0.0000 0.2500 0.1250 1
Tl1 Tl 0.0000 0.0000 0.0000 1
Tl2 Tl 0.0000 0.2500 0.3750 1
S1 S 0.0162 0.0709 0.6571 1
# * N(E_F): 70.5 states/eV/cell
# * V: 26.78 Å³/atom
# * crystal system: cubic
# * spin magnetization: 0.00 μB/cell
# * formation energy from raw total energies: -837 meV/atom

---

# Ba2Be2As2N (GGA-PBE, relaxed)
data_Ba2Be2As2N
_chemical_formula_sum 'Ba4 Be4 As4 N2'
_cell_length_a 11.8896
_cell_length_b 4.0493
_cell_length_c 7.5578
_cell_angle_alpha 90.00
_cell_angle_beta 124.78
_cell_angle_gamma 90.00
_symmetry_space_group_name_H-M 'C 1 2/m 1'
_symmetry_Int_Tables_number 12
loop_
_symmetry_equiv_pos_as_xyz
'x,y,z'
'-x,-y,-z'
'-x,y,-z'
'x,-y,z'
'x+1/2,y+1/2,z'
'-x+1/2,-y+1/2,-z'
'-x+1/2,y+1/2,-z'
'x+1/2,-y+1/2,z'
loop_
_atom_site_label
_atom_site_type_symbol
_atom_site_fract_x
_atom_site_fract_y
_atom_site_fract_z
_atom_site_occupancy
Ba1 Ba 0.0428 0.0000 0.2899 1
Be1 Be 0.1544 0.5000 0.0731 1
As1 As 0.2097 0.5000 0.7889 1
N1 N 0.0000 0.5000 0.0000 1
# * N(E_F): 6.5 states/eV/cell
# * V: 21.35 Å³/atom
# * crystal system: monoclinic
# * spin magnetization: 0.00 μB/cell
# * formation energy from raw total energies: -779 meV/atom

---

# KYAu3 (GGA-PBE, relaxed)
data_KYAu3
_chemical_formula_sum 'K1 Y1 Au3'
_cell_length_a 5.5675
_cell_length_b 5.5675
_cell_length_c 5.5675
_cell_angle_alpha 90.00
_cell_angle_beta 90.00
_cell_angle_gamma 90.00
_symmetry_space_group_name_H-M 'P m -3 m'
_symmetry_Int_Tables_number 221
_symmetry_space_group_name_Hall '-P 4 2 3'
loop_
_atom_site_label
_atom_site_type_symbol
_atom_site_fract_x
_atom_site_fract_y
_atom_site_fract_z
_atom_site_occupancy
K1 K 0.0000 0.0000 0.0000 1
Y1 Y 0.5000 0.5000 0.5000 1
Au1 Au 0.0000 0.5000 0.5000 1
# * N(E_F): 2.5 states/eV/cell
# * energy of formation from the pure elements: -0.140 eV/atom
# * ΔE to the lowest computed polymorph: 0 meV/atom
# * V: 34.51 Å³/atom
# * crystal system: cubic
# * spin magnetization: 0.00 μB/cell

---

Q: What is the formula in the first record?
A: Mg2Cd3